Entry 1:
DFT (PBE) results for an optimized crystal structure of Mo3Os.

The value obtained for the energy above the lowest structure with this stoichiometry is 250 meV per atom.

It has space group R-3m (No. 166, hexagonal axes), with a = 2.7750 Å, b = 2.7750 Å, c = 28.1417 Å, α = 90.00°, β = 90.00° and γ = 120.00°. The inequivalent atoms are Mo at (0.0000, 0.0000, 0.0000), Mo at (0.0000, 0.0000, 0.2462) and Os at (0.0000, 0.0000, 0.5000).



Entry 2:
DFT (PBE) results for an optimized crystal structure of AsRuIO2.

The raw formation energy is 0.293 eV per atom. The value obtained for the energy above the lowest structure with this stoichiometry is 286 meV per atom.

It has space group P4/mmm (No. 123), with a = 3.777 Å, b = 3.777 Å, c = 6.627 Å, α = 90.00°, β = 90.00° and γ = 90.00°. The inequivalent atoms are As at (0.000, 0.000, 0.000), Ru at (0.500, 0.500, 0.500), I at (0.000, 0.000, 0.500) and O at (0.000, 0.500, 0.000).



Entry 3:
DFT (PBE) results for an optimized crystal structure of Ca3InNi8.

The total energy is -4.779 eV per atom.

It has space group R3m (No. 160, hexagonal axes), with a = 5.0340 Å, b = 5.0340 Å, c = 24.7081 Å, α = 90.00°, β = 90.00° and γ = 120.00°. The inequivalent atoms are Ca at (0.0000, 0.0000, 0.0000), Ca at (0.0000, 0.0000, 0.1262), Ca at (0.0000, 0.0000, 0.6238), In at (0.0000, 0.0000, 0.5006), Ni at (0.0000, 0.0000, 0.3125), Ni at (0.0000, 0.0000, 0.8130), Ni at (0.0054, 0.5027, 0.0643) and Ni at (0.1679, 0.3358, 0.8941).